# CuAu2Cl

An optimized crystal structure of CuAu2Cl (PBEsol, Alexandria via LeMat-Bulk).

Unit cell a=3.783 b=3.783 c=4.731 alpha=90.00 beta=90.00 gamma=90.00
Element x y z (fractional)
Cu 0.000 0.000 0.000
Au 0.000 0.500 0.500
Au 0.500 0.000 0.500
Cl 0.500 0.500 0.000

## Properties
**Crystal system**: tetragonal
**Total DFT energy (no corrections)**: -13.1 eV per cell
**SG**: P4/mmm, No. 123
**Uncorrected formation energy**: 107.5 kJ/mol of formula units
**Energy relative to the lowest polymorph listed for this composition**: 0.191 eV/atom